# TbPr2YHo

A relaxed TbPr2YHo crystal (GGA-PBE, Alexandria).

Properties
- formation energy from the elements (eV/atom) = 0.4164

a b c (Å): 7.1956 7.1956 7.3093
angles (deg): 90.00 90.00 108.53
With the nearest neighbours (Å) after each atom.
Fractional coordinates of all 10 atoms:
1 Tb 0.0298 0.9702 0.7500  1 Ho 3.04, 4 Pr 3.17, 1 Y 3.31
2 Tb 0.9702 0.0298 0.2500  1 Ho 3.04, 4 Pr 3.17, 1 Y 3.31
3 Pr 0.3053 0.3053 0.0000  2 Tb 3.17, 1 Pr 3.27, 2 Ho 3.47
4 Pr 0.3053 0.3053 0.5000  2 Tb 3.17, 1 Pr 3.27, 2 Ho 3.47
5 Pr 0.6947 0.6947 0.0000  2 Tb 3.17, 1 Pr 3.27, 2 Ho 3.47
6 Pr 0.6947 0.6947 0.5000  2 Tb 3.17, 1 Pr 3.27, 2 Ho 3.47
7 Y 0.2537 0.7463 0.2500  1 Tb 3.31, 2 Ho 3.68
8 Y 0.7463 0.2537 0.7500  1 Tb 3.31, 2 Ho 3.68
9 Ho 0.2900 0.7100 0.7500  1 Tb 3.04
10 Ho 0.7100 0.2900 0.2500  1 Tb 3.04

---

# TbPr6Y3Ho2

A relaxed TbPr6Y3Ho2 crystal (GGA-PBE, Alexandria).

Properties
- formation energy from the elements (eV/atom) = 0.0089

a b c (Å): 6.3185 6.3185 11.9078
angles (deg): 95.06 95.06 120.00
With the nearest neighbours (Å) after each atom.
Fractional coordinates of all 12 atoms:
1 Tb 0.0000 0.0000 0.0000  6 Pr 3.60, 6 Ho 3.65
2 Pr 0.0834 0.4169 0.2489  2 Ho 3.59-3.60, 1 Tb 3.60, 3 Y 3.62, 6 Pr 3.65
3 Pr 0.2501 0.2501 0.7511  1 Tb 3.60, 2 Ho 3.60, 3 Y 3.62, 6 Pr 3.65
4 Pr 0.4169 0.0834 0.2489  2 Ho 3.59-3.60, 1 Tb 3.60, 3 Y 3.62, 6 Pr 3.65
5 Pr 0.5831 0.9166 0.7511  2 Ho 3.59-3.60, 1 Tb 3.60, 3 Y 3.62, 6 Pr 3.65
6 Pr 0.7499 0.7499 0.2489  1 Tb 3.60, 2 Ho 3.60, 3 Y 3.62, 6 Pr 3.65
7 Pr 0.9166 0.5831 0.7511  2 Ho 3.59-3.60, 1 Tb 3.60, 3 Y 3.62, 6 Pr 3.65
8 Y 0.1667 0.8333 0.5000  6 Pr 3.62, 6 Y 3.65
9 Y 0.5000 0.5000 0.5000  6 Pr 3.62, 6 Y 3.65
10 Y 0.8333 0.1667 0.5000  6 Pr 3.62, 6 Y 3.65
11 Ho 0.3334 0.6666 0.0000  6 Pr 3.59-3.60, 3 Ho 3.65, 3 Tb 3.65
12 Ho 0.6666 0.3334 0.0000  6 Pr 3.59-3.60, 3 Ho 3.65, 3 Tb 3.65

---

# TbPr2Y2Ho

A relaxed TbPr2Y2Ho crystal (GGA-PBE, Alexandria).

Properties
- formation energy from the elements (eV/atom) = 0.0561

a b c (Å): 7.1070 5.6971 9.8569
angles (deg): 90.00 90.00 90.00
With the nearest neighbours (Å) after each atom.
Fractional coordinates of all 12 atoms:
1 Tb 0.2500 0.0000 0.1804  3 Pr 3.16-3.25
2 Tb 0.7500 0.0000 0.8196  3 Pr 3.16-3.25
3 Pr 0.2500 0.0000 0.8504  3 Tb 3.25-3.57, 2 Y 3.43
4 Pr 0.2500 0.5000 0.3188  2 Tb 3.16, 1 Y 3.33
5 Pr 0.7500 0.0000 0.1496  3 Tb 3.25-3.57, 2 Y 3.43
6 Pr 0.7500 0.5000 0.6812  2 Tb 3.16, 1 Y 3.33
7 Y 0.0000 0.0000 0.5000  6 Y 3.55-3.69, 2 Tb 3.62, 6 Pr 3.80-3.88
8 Y 0.2500 0.5000 0.6563  5 Pr 3.33-3.56, 4 Y 3.69
9 Y 0.5000 0.0000 0.5000  6 Y 3.55-3.69, 2 Tb 3.62, 6 Pr 3.80-3.88
10 Y 0.7500 0.5000 0.3437  5 Pr 3.33-3.56, 4 Y 3.69
11 Ho 0.0000 0.5000 0.0000  2 Ho 3.55, 6 Pr 3.61-3.67, 4 Tb 3.80, 2 Y 3.83
12 Ho 0.5000 0.5000 0.0000  2 Ho 3.55, 6 Pr 3.61-3.67, 4 Tb 3.80, 2 Y 3.83

---

# TbPrY6Ho2

A relaxed TbPrY6Ho2 crystal (GGA-PBE, Alexandria).

Properties
- formation energy from the elements (eV/atom) = 0.1214

a b c (Å): 8.7816 8.7816 9.6990
angles (deg): 94.54 94.54 117.13
With the nearest neighbours (Å) after each atom.
Fractional coordinates of all 20 atoms:
1 Tb 0.0246 0.9754 0.7500  4 Ho 3.37-3.38, 4 Y 3.54-3.64
2 Tb 0.9754 0.0246 0.2500  4 Ho 3.37-3.38, 4 Y 3.54-3.64
3 Pr 0.4061 0.5939 0.2500  8 Y 3.43-3.84, 2 Ho 3.57
4 Pr 0.5939 0.4061 0.7500  8 Y 3.43-3.84, 2 Ho 3.57
5 Y 0.0229 0.5729 0.6815  2 Y 3.24-3.58, 2 Ho 3.41-3.63, 1 Pr 3.51, 1 Tb 3.54
6 Y 0.1181 0.7522 0.0562  7 Y 3.42-3.82, 1 Ho 3.46, 1 Tb 3.64
7 Y 0.2478 0.8819 0.4438  7 Y 3.42-3.82, 1 Ho 3.46, 1 Tb 3.64
8 Y 0.2948 0.5062 0.8811  4 Y 3.24-3.59, 3 Ho 3.29-3.45, 2 Pr 3.43-3.56
9 Y 0.4271 0.9771 0.8185  2 Y 3.24-3.58, 2 Ho 3.41-3.63, 1 Pr 3.51, 1 Tb 3.54
10 Y 0.4938 0.7052 0.6189  4 Y 3.24-3.59, 3 Ho 3.29-3.45, 2 Pr 3.43-3.56
11 Y 0.5062 0.2948 0.3811  4 Y 3.24-3.59, 3 Ho 3.29-3.45, 2 Pr 3.43-3.56
12 Y 0.5729 0.0229 0.1815  2 Y 3.24-3.58, 2 Ho 3.41-3.63, 1 Pr 3.51, 1 Tb 3.54
13 Y 0.7052 0.4938 0.1189  4 Y 3.24-3.59, 3 Ho 3.29-3.45, 2 Pr 3.43-3.56
14 Y 0.7522 0.1181 0.5562  7 Y 3.42-3.82, 1 Ho 3.46, 1 Tb 3.64
15 Y 0.8819 0.2478 0.9438  7 Y 3.42-3.82, 1 Ho 3.46, 1 Tb 3.64
16 Y 0.9771 0.4271 0.3185  2 Y 3.24-3.58, 2 Ho 3.41-3.63, 1 Pr 3.51, 1 Tb 3.54
17 Ho 0.1923 0.2923 0.5462  6 Y 3.29-3.63, 2 Tb 3.37-3.38, 1 Pr 3.57
18 Ho 0.2923 0.1923 0.0462  6 Y 3.29-3.63, 2 Tb 3.37-3.38, 1 Pr 3.57
19 Ho 0.7077 0.8077 0.9538  6 Y 3.29-3.63, 2 Tb 3.37-3.38, 1 Pr 3.57
20 Ho 0.8077 0.7077 0.4538  6 Y 3.29-3.63, 2 Tb 3.37-3.38, 1 Pr 3.57

---

# Tb2PrYHo5

A relaxed Tb2PrYHo5 crystal (GGA-PBE, Alexandria).

Properties
- formation energy from the elements (eV/atom) = 0.2826

a b c (Å): 9.7065 9.7065 9.7065
angles (deg): 125.24 125.24 81.13
With the nearest neighbours (Å) after each atom.
Fractional coordinates of all 18 atoms:
1 Tb 0.1127 0.6127 0.7254  1 Tb 2.85, 2 Ho 3.00
2 Tb 0.3873 0.1127 0.5000  1 Tb 2.85, 2 Ho 3.00
3 Tb 0.6127 0.8873 0.5000  1 Tb 2.85, 2 Ho 3.00
4 Tb 0.8873 0.3873 0.2746  1 Tb 2.85, 2 Ho 3.00
5 Pr 0.2500 0.2500 0.0000  10 Ho 3.65-3.69
6 Pr 0.7500 0.7500 0.0000  10 Ho 3.65-3.69
7 Y 0.2500 0.7500 0.5000  4 Ho 3.13
8 Y 0.7500 0.2500 0.5000  4 Ho 3.13
9 Ho 0.0000 0.0000 0.0000  4 Tb 3.60, 2 Pr 3.69, 8 Ho 3.75
10 Ho 0.0744 0.1619 0.5000  1 Tb 3.00, 1 Y 3.13
11 Ho 0.1619 0.6619 0.0875  1 Tb 3.00, 1 Y 3.13
12 Ho 0.3381 0.4256 0.5000  1 Tb 3.00, 1 Y 3.13
13 Ho 0.4256 0.9256 0.0875  1 Tb 3.00, 1 Y 3.13
14 Ho 0.5000 0.5000 0.0000  4 Tb 3.60, 2 Pr 3.69, 8 Ho 3.75
15 Ho 0.5744 0.0744 0.9125  1 Tb 3.00, 1 Y 3.13
16 Ho 0.6619 0.5744 0.5000  1 Tb 3.00, 1 Y 3.13
17 Ho 0.8381 0.3381 0.9125  1 Tb 3.00, 1 Y 3.13
18 Ho 0.9256 0.8381 0.5000  1 Tb 3.00, 1 Y 3.13

---

# TbPr3Y2Ho6

A relaxed TbPr3Y2Ho6 crystal (GGA-PBE, Alexandria).

Properties
- formation energy from the elements (eV/atom) = 0.0208

a b c (Å): 6.2166 6.2166 11.8387
angles (deg): 95.01 95.01 119.98
With the nearest neighbours (Å) after each atom.
Fractional coordinates of all 12 atoms:
1 Tb 0.0000 0.0000 0.0000  6 Ho 3.54, 6 Y 3.59
2 Pr 0.1668 0.8332 0.5000  6 Pr 3.59, 6 Ho 3.61
3 Pr 0.5000 0.5000 0.5000  6 Pr 3.59, 6 Ho 3.61
4 Pr 0.8332 0.1668 0.5000  6 Pr 3.59, 6 Ho 3.61
5 Y 0.3333 0.6667 0.0000  6 Ho 3.54, 3 Tb 3.59, 3 Y 3.59
6 Y 0.6667 0.3333 0.0000  6 Ho 3.54, 3 Tb 3.59, 3 Y 3.59
7 Ho 0.0824 0.4151 0.2464  1 Tb 3.54, 2 Y 3.54, 6 Ho 3.58-3.59, 3 Pr 3.61
8 Ho 0.2503 0.2503 0.7535  1 Tb 3.54, 2 Y 3.54, 6 Ho 3.58-3.59, 3 Pr 3.61
9 Ho 0.4151 0.0824 0.2464  1 Tb 3.54, 2 Y 3.54, 6 Ho 3.58-3.59, 3 Pr 3.61
10 Ho 0.5849 0.9176 0.7536  1 Tb 3.54, 2 Y 3.54, 6 Ho 3.58-3.59, 3 Pr 3.61
11 Ho 0.7497 0.7497 0.2465  1 Tb 3.54, 2 Y 3.54, 6 Ho 3.58-3.59, 3 Pr 3.61
12 Ho 0.9176 0.5849 0.7536  1 Tb 3.54, 2 Y 3.54, 6 Ho 3.58-3.59, 3 Pr 3.61

---

# Tb2Pr3YHo6

A relaxed Tb2Pr3YHo6 crystal (GGA-PBE, Alexandria).

Properties
- formation energy from the elements (eV/atom) = 0.0196

a b c (Å): 6.2152 6.2152 11.8255
angles (deg): 95.01 95.01 119.98
With the nearest neighbours (Å) after each atom.
Fractional coordinates of all 12 atoms:
1 Tb 0.1666 0.8334 0.0000  6 Ho 3.53-3.54, 3 Tb 3.59, 3 Y 3.59
2 Tb 0.8334 0.1666 0.0000  6 Ho 3.53-3.54, 3 Tb 3.59, 3 Y 3.59
3 Pr 0.0000 0.0000 0.5000  6 Pr 3.59, 6 Ho 3.61
4 Pr 0.3335 0.6665 0.5000  6 Pr 3.59, 6 Ho 3.61
5 Pr 0.6665 0.3335 0.5000  6 Pr 3.59, 6 Ho 3.61
6 Y 0.5000 0.5000 0.0000  6 Ho 3.54, 6 Tb 3.59
7 Ho 0.0834 0.4174 0.7537  2 Tb 3.53-3.54, 1 Y 3.54, 6 Ho 3.58-3.60, 3 Pr 3.61
8 Ho 0.2486 0.2486 0.2462  1 Y 3.54, 2 Tb 3.54, 6 Ho 3.58-3.60, 3 Pr 3.61
9 Ho 0.4174 0.0834 0.7537  2 Tb 3.53-3.54, 1 Y 3.54, 6 Ho 3.58-3.60, 3 Pr 3.61
10 Ho 0.5826 0.9166 0.2463  2 Tb 3.53-3.54, 1 Y 3.54, 6 Ho 3.58-3.60, 3 Pr 3.61
11 Ho 0.7514 0.7514 0.7538  1 Y 3.54, 2 Tb 3.54, 6 Ho 3.58-3.60, 3 Pr 3.61
12 Ho 0.9166 0.5826 0.2463  2 Tb 3.53-3.54, 1 Y 3.54, 6 Ho 3.58-3.60, 3 Pr 3.61

---

# Tb2PrYHo2

A relaxed Tb2PrYHo2 crystal (GGA-PBE, Alexandria).

Properties
- formation energy from the elements (eV/atom) = 0.2740

a b c (Å): 6.5618 17.8458 3.4181
angles (deg): 90.00 90.00 90.00
With the nearest neighbours (Å) after each atom.
Fractional coordinates of all 12 atoms:
1 Tb 0.2247 0.1861 0.0000  4 Ho 3.33-3.41, 2 Tb 3.42, 1 Pr 3.63
2 Tb 0.2753 0.6861 0.5000  4 Ho 3.33-3.41, 2 Tb 3.42, 1 Pr 3.63
3 Tb 0.7247 0.3139 0.5000  4 Ho 3.33-3.41, 2 Tb 3.42, 1 Pr 3.63
4 Tb 0.7753 0.8139 0.0000  4 Ho 3.33-3.41, 2 Tb 3.42, 1 Pr 3.63
5 Pr 0.0000 0.0000 0.0000  2 Ho 3.22, 2 Pr 3.42
6 Pr 0.5000 0.5000 0.5000  2 Ho 3.22, 2 Pr 3.42
7 Y 0.0000 0.5000 0.0000  2 Y 3.42, 4 Ho 3.48, 4 Pr 3.70
8 Y 0.5000 0.0000 0.5000  2 Y 3.42, 4 Ho 3.48, 4 Pr 3.70
9 Ho 0.2218 0.3513 0.5000  1 Pr 3.22, 4 Tb 3.33-3.41, 2 Ho 3.42, 2 Y 3.48
10 Ho 0.2782 0.8513 0.0000  1 Pr 3.22, 4 Tb 3.33-3.41, 2 Ho 3.42, 2 Y 3.48
11 Ho 0.7218 0.1487 0.0000  1 Pr 3.22, 4 Tb 3.33-3.41, 2 Ho 3.42, 2 Y 3.48
12 Ho 0.7782 0.6487 0.5000  1 Pr 3.22, 4 Tb 3.33-3.41, 2 Ho 3.42, 2 Y 3.48

---

# Tb6Pr2Y3Ho

A relaxed Tb6Pr2Y3Ho crystal (GGA-PBE, Alexandria).

Properties
- formation energy from the elements (eV/atom) = 0.0172

a b c (Å): 6.2114 6.2114 11.8918
angles (deg): 94.97 94.97 119.97
With the nearest neighbours (Å) after each atom.
Fractional coordinates of all 12 atoms:
1 Tb 0.0842 0.4165 0.7521  3 Y 3.56-3.57, 6 Tb 3.57-3.59, 1 Ho 3.60, 2 Pr 3.61
2 Tb 0.2478 0.2478 0.2476  3 Y 3.56-3.57, 6 Tb 3.57-3.59, 1 Ho 3.60, 2 Pr 3.61
3 Tb 0.4165 0.0842 0.7521  3 Y 3.56-3.57, 6 Tb 3.57-3.59, 1 Ho 3.60, 2 Pr 3.61
4 Tb 0.5835 0.9158 0.2479  3 Y 3.56-3.57, 6 Tb 3.57-3.59, 1 Ho 3.60, 2 Pr 3.61
5 Tb 0.7522 0.7522 0.7524  3 Y 3.56-3.57, 6 Tb 3.57-3.59, 1 Ho 3.60, 2 Pr 3.61
6 Tb 0.9158 0.5835 0.2479  3 Y 3.56-3.57, 6 Tb 3.57-3.59, 1 Ho 3.60, 2 Pr 3.61
7 Pr 0.3335 0.6665 0.5000  3 Pr 3.58-3.59, 3 Ho 3.59, 6 Tb 3.61
8 Pr 0.6665 0.3335 0.5000  3 Pr 3.58-3.59, 3 Ho 3.59, 6 Tb 3.61
9 Y 0.1664 0.8336 0.0000  6 Tb 3.56-3.57, 6 Y 3.58-3.59
10 Y 0.5000 0.5000 0.0000  6 Tb 3.56-3.57, 6 Y 3.59
11 Y 0.8336 0.1664 0.0000  6 Tb 3.56-3.57, 6 Y 3.58-3.59
12 Ho 0.0000 0.0000 0.5000  6 Pr 3.59, 6 Tb 3.60

---

# Tb2PrY6Ho3

A relaxed Tb2PrY6Ho3 crystal (GGA-PBE, Alexandria).

Properties
- formation energy from the elements (eV/atom) = 0.0203

a b c (Å): 6.1807 6.1807 11.8261
angles (deg): 94.98 94.98 119.95
With the nearest neighbours (Å) after each atom.
Fractional coordinates of all 12 atoms:
1 Tb 0.1666 0.8334 0.0000  3 Tb 3.57, 3 Pr 3.57, 6 Y 3.58-3.59
2 Tb 0.8334 0.1666 0.0000  3 Tb 3.57, 3 Pr 3.57, 6 Y 3.58-3.59
3 Pr 0.5000 0.5000 0.0000  6 Tb 3.57, 6 Y 3.59
4 Y 0.0813 0.4153 0.7477  3 Ho 3.54-3.55, 6 Y 3.56-3.58, 2 Tb 3.58-3.59, 1 Pr 3.59
5 Y 0.2506 0.2506 0.2523  3 Ho 3.54-3.55, 6 Y 3.56-3.58, 1 Pr 3.59, 2 Tb 3.59
6 Y 0.4153 0.0813 0.7477  3 Ho 3.54-3.55, 6 Y 3.56-3.58, 2 Tb 3.58-3.59, 1 Pr 3.59
7 Y 0.5847 0.9187 0.2523  3 Ho 3.54-3.55, 6 Y 3.56-3.58, 2 Tb 3.58-3.59, 1 Pr 3.59
8 Y 0.7494 0.7494 0.7477  3 Ho 3.54-3.55, 6 Y 3.56-3.58, 1 Pr 3.59, 2 Tb 3.59
9 Y 0.9187 0.5847 0.2523  3 Ho 3.54-3.55, 6 Y 3.56-3.58, 2 Tb 3.58-3.59, 1 Pr 3.59
10 Ho 0.0000 0.0000 0.5000  6 Y 3.54-3.55, 6 Ho 3.56-3.57
11 Ho 0.3330 0.6670 0.5000  6 Y 3.54-3.55, 6 Ho 3.56-3.57
12 Ho 0.6670 0.3330 0.5000  6 Y 3.54-3.55, 6 Ho 3.56-3.57

---

# TbPrHoZn

A relaxed TbPrHoZn crystal (GGA-PBE, Alexandria).

Properties
- formation energy from the elements (eV/atom) = -0.1626
- distance to the lowest polymorph of the same formula (meV/atom) = 0.0

a b c (Å): 3.5978 3.5978 8.7466
angles (deg): 90.00 90.00 90.00
With the nearest neighbours (Å) after each atom.
Fractional coordinates of all 4 atoms:
1 Tb 0.0000 0.0000 0.0000  4 Zn 3.11
2 Pr 0.5000 0.5000 0.3004  4 Pr 3.60, 4 Ho 3.64, 4 Tb 3.66
3 Ho 0.0000 0.0000 0.5977  4 Zn 3.08
4 Zn 0.5000 0.5000 0.7953  4 Ho 3.08, 4 Tb 3.11

---

# TbPrHoZn

A relaxed TbPrHoZn crystal (GGA-PBE, Alexandria).

Properties
- formation energy from the elements (eV/atom) = 0.0396
- distance to the lowest polymorph of the same formula (meV/atom) = 202.1

a b c (Å): 5.4074 5.4074 5.4074
angles (deg): 60.00 60.00 60.00
With the nearest neighbours (Å) after each atom.
Fractional coordinates of all 4 atoms:
1 Tb 0.0000 0.0000 0.0000  4 Ho 3.31, 4 Zn 3.31
2 Pr 0.5000 0.5000 0.5000  4 Ho 3.31, 4 Zn 3.31
3 Ho 0.7500 0.7500 0.7500  4 Tb 3.31, 4 Pr 3.31
4 Zn 0.2500 0.2500 0.2500  4 Tb 3.31, 4 Pr 3.31

---

| no. | total magnetization (μB/f.u.) | DOS(E_F) (states/eV/f.u.) |
| --- | --- | --- |
| 1 | 0.0 | 6.29 |
| 2 | 0.0 | 13.47 |
| 3 | 0.0 | 10.30 |
| 4 | 0.0 | 15.66 |
| 5 | 0.0 | 11.41 |
| 6 | 0.0 | 16.19 |
| 7 | 0.0 | 15.54 |
| 8 | 0.0 | 10.05 |
| 9 | 0.0 | 15.94 |
| 10 | 0.0 | 17.00 |
| 11 | 0.0 | 4.88 |
| 12 | 0.0 | 5.15 |